PrNdEr3 | PBE | relaxed

a = 9.357 Å, b = 9.357 Å, c = 5.953 Å
α = 108.44°, β = 108.44°, γ = 42.84°
Element x y z (fractional)
1 Pr 0.000 0.000 0.000
2 Pr 0.000 0.000 0.500
3 Nd 0.449 0.449 0.700
4 Nd 0.551 0.551 0.300
5 Er 0.109 0.583 0.096
6 Er 0.229 0.229 0.478
7 Er 0.417 0.891 0.904
8 Er 0.583 0.109 0.096
9 Er 0.771 0.771 0.522
10 Er 0.891 0.417 0.904

Values from the calculation:
Its energy above the most stable polymorph in this dataset is 0 meV/atom. Its magnetic moment is 0.0 Bohr magnetons per cell. The energy relative to the elements is 0.237 eV/atom.